Record 1
# BaRhF3

Crystalline BaRhF3 at its relaxed geometry (GGA-PBE, the Alexandria database).

For the total magnetization, the calculation gives 2.0 μB per cell. The value obtained for the volume is 25.98 A^3/atom. For the relative energy among the computed polymorphs, the calculation gives 361 meV per atom.

It has space group Pm-3m (No. 221), with a = 5.065 Å, b = 5.065 Å, c = 5.065 Å, α = 90.00°, β = 90.00° and γ = 90.00°. Symmetry generates all atoms from Ba at (0.000, 0.000, 0.000), Rh at (0.500, 0.500, 0.500) and F at (0.000, 0.000, 0.500).

Record 2
# Ba2RhF

Crystalline Ba2RhF at its relaxed geometry (GGA-PBE, the Alexandria database).

For the total magnetization, the calculation gives 0.0 μB per cell. The value obtained for the volume is 29.17 A^3/atom. For the relative energy among the computed polymorphs, the calculation gives 0 meV per atom.

It has space group R-3m (No. 166, hexagonal axes), with a = 4.3899 Å, b = 4.3899 Å, c = 20.9765 Å, α = 90.00°, β = 90.00° and γ = 120.00°. Symmetry generates all atoms from Ba at (0.0000, 0.0000, 0.2488), Rh at (0.0000, 0.0000, 0.0000) and F at (0.0000, 0.0000, 0.5000).

Record 3
# Ba8RhF2

Crystalline Ba8RhF2 at its relaxed geometry (GGA-PBE, the Alexandria database).

For the total magnetization, the calculation gives 0.0 μB per cell. The value obtained for the volume is 57.33 A^3/atom. The total energy comes out at -35.85 eV/f.u.

It has space group Cm (No. 8), with a = 34.008 Å, b = 5.600 Å, c = 6.629 Å, α = 90.00°, β = 92.63° and γ = 90.00°. Symmetry generates all atoms from Ba at (0.000, 0.000, 0.000), Ba at (0.000, 0.500, 0.499), Ba at (0.090, 0.000, 0.522), Ba at (0.192, 0.000, 0.041), Ba at (0.204, 0.500, 0.514), Ba at (0.296, 0.000, 0.482), Ba at (0.308, 0.500, 0.955), Ba at (0.410, 0.500, 0.479), Rh at (0.000, 0.000, 0.501), F at (0.220, 0.000, 0.413) and F at (0.280, 0.500, 0.583).

Record 4
# BaRhF6

Crystalline BaRhF6 at its relaxed geometry (GGA-PBE, the Alexandria database).

For the total magnetization, the calculation gives 3.0 μB per cell. The value obtained for the volume is 15.28 A^3/atom. The total energy comes out at -40.26 eV/f.u.

It has space group R-3m (No. 166, hexagonal axes), with a = 7.6036 Å, b = 7.6036 Å, c = 7.3234 Å, α = 90.00°, β = 90.00° and γ = 120.00°. Symmetry generates all atoms from Ba at (0.0000, 0.0000, 0.0000), Rh at (0.0000, 0.0000, 0.5000) and F at (0.0988, 0.5494, 0.3294).

Record 5
# BaRhF

Crystalline BaRhF at its relaxed geometry (GGA-PBE, the Alexandria database).

For the total magnetization, the calculation gives 0.8 μB per cell. The value obtained for the volume is 21.27 A^3/atom. For the relative energy among the computed polymorphs, the calculation gives 74 meV per atom.

It has space group P4/nmm (No. 129, origin choice 2), with a = 3.727 Å, b = 3.727 Å, c = 9.191 Å, α = 90.00°, β = 90.00° and γ = 90.00°. Symmetry generates all atoms from Ba at (0.250, 0.250, 0.204), Rh at (0.250, 0.750, 0.500) and F at (0.250, 0.250, 0.892).

Record 6
# BaRh2SF

Crystalline BaRh2SF at its relaxed geometry (GGA-PBE, the Alexandria database).

For the total magnetization, the calculation gives 2.8 μB per cell. The value obtained for the volume is 27.38 A^3/atom. The total energy comes out at -19.61 eV/f.u.

It has space group P4/mmm (No. 123), with a = 5.432 Å, b = 5.432 Å, c = 4.639 Å, α = 90.00°, β = 90.00° and γ = 90.00°. Symmetry generates all atoms from Ba at (0.000, 0.000, 0.000), Rh at (0.000, 0.500, 0.000), S at (0.500, 0.500, 0.500) and F at (0.000, 0.000, 0.500).

Record 7
# Ba2SbRhF

Crystalline Ba2SbRhF at its relaxed geometry (GGA-PBE, the Alexandria database).

For the total magnetization, the calculation gives 0.3 μB per cell. The value obtained for the volume is 31.24 A^3/atom. The total energy comes out at -21.74 eV/f.u.

It has space group P4/mmm (No. 123), with a = 6.111 Å, b = 6.111 Å, c = 4.182 Å, α = 90.00°, β = 90.00° and γ = 90.00°. Symmetry generates all atoms from Ba at (0.000, 0.500, 0.000), Sb at (0.000, 0.000, 0.500), Rh at (0.500, 0.500, 0.000) and F at (0.500, 0.500, 0.500).

Record 8
# BaSn2RhF

Crystalline BaSn2RhF at its relaxed geometry (GGA-PBE, the Alexandria database).

For the total magnetization, the calculation gives 0.7 μB per cell. The value obtained for the volume is 37.05 A^3/atom. The total energy comes out at -17.53 eV/f.u.

It has space group P4/mmm (No. 123), with a = 6.351 Å, b = 6.351 Å, c = 4.593 Å, α = 90.00°, β = 90.00° and γ = 90.00°. Symmetry generates all atoms from Ba at (0.000, 0.000, 0.000), Sn at (0.000, 0.500, 0.000), Rh at (0.500, 0.500, 0.500) and F at (0.000, 0.000, 0.500).

Record 9
# Ba6Tl2RhF

Crystalline Ba6Tl2RhF at its relaxed geometry (GGA-PBE, the Alexandria database).

For the total magnetization, the calculation gives 0.0 μB per cell. The value obtained for the volume is 41.03 A^3/atom. The total energy comes out at -32.62 eV/f.u.

It has space group Pmmn (No. 59, origin choice 2), with a = 8.347 Å, b = 11.779 Å, c = 8.347 Å, α = 90.00°, β = 90.00° and γ = 90.00°. Symmetry generates all atoms from Ba at (0.002, 0.250, 0.003), Ba at (0.003, 0.250, 0.498), Ba at (0.250, 0.003, 0.250), Tl at (0.250, 0.000, 0.749), Rh at (0.250, 0.750, 0.250) and F at (0.250, 0.250, 0.250).